# NaMn2O2

An optimized crystal structure of NaMn2O2 (GGA+U, the Alexandria database).

Summary:
**Spin magnetization**: 9.52 μB/f.u.
**Electronic total energy**: -6.463 eV/atom

```
NaMn2O2
1.0
3.224 0.000 -0.928
-0.400 3.990 -1.389
-0.091 -0.266 5.745
Mn O Na
2 2 1
direct
0.322 0.322 0.644
0.678 0.678 0.356
0.681 0.181 0.363
0.319 0.819 0.637
0.000 0.000 0.000
```